Entry from Alexandria via LeMat-Bulk: KThBi2 after structural relaxation (GGA-PBE).

a b c (Å): 4.6988 4.6988 25.5409
angles (deg): 90.00 90.00 120.00
Space group R-3m (No. 166, hexagonal axes)
Symmetry-distinct sites (fractional):
K: 0.0000 0.0000 0.0000
Th: 0.0000 0.0000 0.5000
Bi: 0.0000 0.0000 0.2366

Properties
The calculation puts the calculated formation energy at -0.380 eV/atom. The calculation puts the density at 7.03 g/cm3. The calculation puts the magnetization at 0.0000 μB per atom. The density of states at the Fermi level comes out at 4.961 states/eV/f.u.